Record 1
First-principles (PBE) data for crystalline SrPSe2 at its relaxed geometry, as listed in the Alexandria database.

Computed properties:
calculated total energy = -3.981 eV/atom
mass density = 5.00 g/cm³
raw formation energy = -0.47 eV per atom

```
SrPSe2
1.0
4.944 0.000 0.000
0.000 4.944 0.000
0.000 0.000 3.754
Sr P Se
1 1 2
direct
0.500 0.500 0.500
0.000 0.000 0.500
0.500 0.000 0.000
0.000 0.500 0.000
```


Record 2
First-principles (PBE) data for crystalline Sr2PSe at its relaxed geometry, as listed in the Alexandria database.

Computed properties:
calculated total energy = -4.221 eV/atom
mass density = 4.36 g/cm³
raw formation energy = -1.16 eV per atom

```
Sr2PSe
1.0
-0.903 -5.245 0.580
-4.518 -1.698 2.317
-3.774 -2.407 -2.937
Sr Se P
2 1 1
direct
0.250 0.250 0.250
0.750 0.750 0.750
0.500 0.500 0.500
0.000 0.000 0.000
```


Copy entry 1 word for word.
First-principles (PBE) data for crystalline SrPSe2 at its relaxed geometry, as listed in the Alexandria database.

Computed properties:
calculated total energy = -3.981 eV/atom
mass density = 5.00 g/cm³
raw formation energy = -0.47 eV per atom

```
SrPSe2
1.0
4.944 0.000 0.000
0.000 4.944 0.000
0.000 0.000 3.754
Sr P Se
1 1 2
direct
0.500 0.500 0.500
0.000 0.000 0.500
0.500 0.000 0.000
0.000 0.500 0.000
```


Q: What is the formula in the second record?
A: Sr2PSe


Copy entry 2 word for word.
First-principles (PBE) data for crystalline Sr2PSe at its relaxed geometry, as listed in the Alexandria database.

Computed properties:
calculated total energy = -4.221 eV/atom
mass density = 4.36 g/cm³
raw formation energy = -1.16 eV per atom

```
Sr2PSe
1.0
-0.903 -5.245 0.580
-4.518 -1.698 2.317
-3.774 -2.407 -2.937
Sr Se P
2 1 1
direct
0.250 0.250 0.250
0.750 0.750 0.750
0.500 0.500 0.500
0.000 0.000 0.000
```